VASP calculation (GGA-PBE) on crystalline Tb6PmSm2Tm3 at its relaxed geometry.

Lattice parameters (Å, degrees): 6.1674 6.1674 11.7939 94.98 94.98 119.96
With the nearest neighbours (Å) after each atom.
Positions (direct):
Tb: 0.9146 0.5812 0.7458  3 Tm 3.52, 6 Tb 3.56, 2 Sm 3.59-3.60, 1 Pm 3.60
Tb: 0.7519 0.7519 0.2543  3 Tm 3.52, 6 Tb 3.56, 1 Pm 3.60, 2 Sm 3.60
Tb: 0.0854 0.4188 0.2542  3 Tm 3.52, 6 Tb 3.56, 2 Sm 3.59-3.60, 1 Pm 3.60
Tb: 0.5812 0.9146 0.7458  3 Tm 3.52, 6 Tb 3.56, 2 Sm 3.59-3.60, 1 Pm 3.60
Tb: 0.2481 0.2481 0.7457  3 Tm 3.52, 6 Tb 3.56, 1 Pm 3.60, 2 Sm 3.60
Tb: 0.4188 0.0854 0.2542  3 Tm 3.52, 6 Tb 3.56, 2 Sm 3.59-3.60, 1 Pm 3.60
Pm: 0.0000 0.0000 0.0000  6 Sm 3.56, 6 Tb 3.60
Sm: 0.3334 0.6666 0.0000  3 Sm 3.56, 3 Pm 3.56, 6 Tb 3.59-3.60
Sm: 0.6666 0.3334 0.0000  3 Sm 3.56, 3 Pm 3.56, 6 Tb 3.59-3.60
Tm: 0.1668 0.8332 0.5000  6 Tb 3.52, 6 Tm 3.56
Tm: 0.8332 0.1668 0.5000  6 Tb 3.52, 6 Tm 3.56
Tm: 0.5000 0.5000 0.5000  6 Tb 3.52, 6 Tm 3.56

Output
- spin magnetization (μB/cell) = 0.00
- crystal system = monoclinic
- formation energy from the elements (kJ per mole of atoms) = 2

***

VASP calculation (GGA-PBE) on crystalline Tb2Pm2Sm4Tm at its relaxed geometry.

Lattice parameters (Å, degrees): 3.6363 9.5923 9.6619 115.12 90.00 100.93
With the nearest neighbours (Å) after each atom.
Positions (direct):
Tb: 0.8523 0.7046 0.3337  3 Pm 3.57-3.61, 7 Sm 3.58-3.63, 2 Tb 3.64
Tb: 0.1477 0.2954 0.6663  3 Pm 3.57-3.61, 7 Sm 3.58-3.63, 2 Tb 3.64
Pm: 0.3345 0.6691 0.0018  3 Sm 3.55-3.58, 3 Tb 3.57-3.61, 2 Tm 3.61, 4 Pm 3.64-3.65
Pm: 0.6655 0.3309 0.9982  3 Sm 3.55-3.58, 3 Tb 3.57-3.61, 2 Tm 3.61, 4 Pm 3.64-3.65
Sm: 0.8145 0.6291 0.6672  1 Tm 3.58, 2 Pm 3.58, 6 Sm 3.59-3.64, 3 Tb 3.59-3.63
Sm: 0.1855 0.3709 0.3328  1 Tm 3.58, 2 Pm 3.58, 6 Sm 3.59-3.64, 3 Tb 3.59-3.63
Sm: 0.5184 0.0368 0.3325  1 Pm 3.55, 2 Tm 3.57, 4 Tb 3.58-3.62, 5 Sm 3.59-3.64
Sm: 0.4816 0.9632 0.6675  1 Pm 3.55, 2 Tm 3.57, 4 Tb 3.58-3.62, 5 Sm 3.59-3.64
Tm: 0.0000 0.0000 0.0000  6 Sm 3.57-3.58, 4 Pm 3.61, 2 Tm 3.64

Output
- spin magnetization (μB/cell) = 0.00
- crystal system = monoclinic
- formation energy from the elements (kJ per mole of atoms) = 1

***

VASP calculation (GGA-PBE) on crystalline TbPm2Sm2Tm4 at its relaxed geometry.

Lattice parameters (Å, degrees): 3.5942 9.4958 9.5576 115.31 90.00 100.91
With the nearest neighbours (Å) after each atom.
Positions (direct):
Tb: 0.0000 0.0000 0.0000  6 Tm 3.53-3.55, 4 Pm 3.57, 2 Tb 3.59
Pm: 0.3343 0.6687 0.9974  3 Tm 3.54-3.55, 3 Sm 3.56-3.59, 2 Tb 3.57, 4 Pm 3.59-3.64
Pm: 0.6657 0.3313 0.0026  3 Tm 3.54-3.55, 3 Sm 3.56-3.59, 2 Tb 3.57, 4 Pm 3.59-3.64
Sm: 0.8530 0.7060 0.3373  7 Tm 3.48-3.61, 3 Pm 3.56-3.59, 2 Sm 3.59
Sm: 0.1470 0.2940 0.6627  7 Tm 3.48-3.61, 3 Pm 3.56-3.59, 2 Sm 3.59
Tm: 0.8150 0.6301 0.6633  3 Sm 3.48-3.61, 6 Tm 3.50-3.59, 2 Pm 3.54, 1 Tb 3.55
Tm: 0.1850 0.3699 0.3367  3 Sm 3.48-3.61, 6 Tm 3.50-3.59, 2 Pm 3.54, 1 Tb 3.55
Tm: 0.5196 0.0392 0.3331  4 Sm 3.50-3.61, 2 Tb 3.53, 1 Pm 3.55, 5 Tm 3.56-3.59
Tm: 0.4804 0.9608 0.6669  4 Sm 3.50-3.61, 2 Tb 3.53, 1 Pm 3.55, 5 Tm 3.56-3.59

Output
- spin magnetization (μB/cell) = 0.00
- crystal system = monoclinic
- formation energy from the elements (kJ per mole of atoms) = 0

***

VASP calculation (GGA-PBE) on crystalline TbPm2SmTm2 at its relaxed geometry.

Lattice parameters (Å, degrees): 5.6483 9.7860 7.0104 90.00 90.00 90.00
With the nearest neighbours (Å) after each atom.
Positions (direct):
Tb: 0.0000 0.0000 0.0000  2 Sm 3.51, 6 Tm 3.70-3.71, 6 Pm 3.70
Tb: 0.5000 0.5000 0.5000  2 Sm 3.51, 6 Tm 3.70-3.71, 6 Pm 3.70
Pm: 0.5000 0.8330 0.2491  5 Tm 3.26-3.51
Pm: 0.5000 0.1670 0.7509  5 Tm 3.26-3.51
Pm: 0.0000 0.6670 0.7491  5 Tm 3.26-3.51
Pm: 0.0000 0.3330 0.2509  5 Tm 3.26-3.51
Sm: 0.5000 0.5000 0.0000  2 Tb 3.51, 6 Pm 3.70-3.71, 6 Tm 3.70-3.71
Sm: 0.0000 0.0000 0.5000  2 Tb 3.51, 6 Pm 3.70-3.71, 6 Tm 3.70-3.71
Tm: 0.5000 0.1663 0.2499  5 Pm 3.26-3.51
Tm: 0.0000 0.6663 0.2501  5 Pm 3.26-3.51
Tm: 0.5000 0.8337 0.7501  5 Pm 3.26-3.51
Tm: 0.0000 0.3337 0.7499  5 Pm 3.26-3.51

Output
- spin magnetization (μB/cell) = 0.00
- crystal system = orthorhombic
- formation energy from the elements (kJ per mole of atoms) = 7